(1)
The following is a DFT calculation (PBE) of a relaxed structure of Ho3ScTe3.

a b c (Å): 13.653 4.070 13.721
angles (deg): 90.00 90.00 90.00
Space group Pnma (No. 62)
Unique sites:
Ho 0.044 0.250 0.131 (multiplicity 4)
Ho 0.157 0.750 0.517 (multiplicity 4)
Ho 0.238 0.750 0.803 (multiplicity 4)
Sc 0.070 0.250 0.701 (multiplicity 4)
Te 0.055 0.250 0.377 (multiplicity 4)
Te 0.122 0.250 0.918 (multiplicity 4)
Te 0.219 0.750 0.141 (multiplicity 4)

Computed properties:
Magnetic moment (μB per cell): 0.0
E_form (uncorrected) (meV per atom): -1009
Calculated density (g/cm3): 8.04

(2)
The following is a DFT calculation (PBE) of a relaxed structure of Ho6ScTe8.

a b c (Å): 12.199 12.199 12.199
angles (deg): 90.00 90.00 90.00
Space group Fm-3m (No. 225)
Unique sites:
Ho 0.000 0.250 0.250 (multiplicity 24)
Sc 0.000 0.000 0.000 (multiplicity 4)
Te 0.000 0.000 0.249 (multiplicity 24)
Te 0.250 0.250 0.250 (multiplicity 8)

Computed properties:
Magnetic moment (μB per cell): 0.0
E_form (uncorrected) (meV per atom): -1310
Calculated density (g/cm3): 7.52

(3)
The following is a DFT calculation (PBE) of a relaxed structure of Ho5ScTe4.

a b c (Å): 18.032 4.062 8.406
angles (deg): 90.00 102.21 90.00
Space group C2/m (No. 12)
Unique sites:
Ho 0.000 0.000 0.000 (multiplicity 2)
Ho 0.167 0.500 0.284 (multiplicity 4)
Ho 0.187 0.500 0.862 (multiplicity 4)
Sc 0.000 0.000 0.500 (multiplicity 2)
Te 0.009 0.500 0.745 (multiplicity 4)
Te 0.164 0.000 0.563 (multiplicity 4)

Computed properties:
Magnetic moment (μB per cell): 0.0
E_form (uncorrected) (meV per atom): -878
Calculated density (g/cm3): 7.62

(4)
The following is a DFT calculation (PBE) of a relaxed structure of HoSc3Te.

a b c (Å): 9.973 3.719 13.723
angles (deg): 90.00 90.00 90.00
Space group Pnma (No. 62)
Unique sites:
Ho 0.158 0.250 0.022 (multiplicity 4)
Sc 0.086 0.250 0.423 (multiplicity 4)
Sc 0.109 0.750 0.234 (multiplicity 4)
Sc 0.142 0.750 0.815 (multiplicity 4)
Te 0.132 0.250 0.638 (multiplicity 4)

Computed properties:
Magnetic moment (μB per cell): 0.0
Energy above the lowest structure with this stoichiometry (eV/atom): 0.000
E_form (uncorrected) (meV per atom): -458
Calculated density (g/cm3): 5.58

(5)
The following is a DFT calculation (PBE) of a relaxed structure of Ho3ScTe4.

a b c (Å): 8.675 12.158 4.258
angles (deg): 90.00 90.00 90.00
Space group Cmmm (No. 65)
Unique sites:
Ho 0.000 0.000 0.000 (multiplicity 2)
Ho 0.250 0.250 0.500 (multiplicity 4)
Sc 0.000 0.500 0.000 (multiplicity 2)
Te 0.000 0.254 0.000 (multiplicity 4)
Te 0.242 0.500 0.500 (multiplicity 4)

Computed properties:
Magnetic moment (μB per cell): 0.0
Energy above the lowest structure with this stoichiometry (eV/atom): 0.022
E_form (uncorrected) (meV per atom): -1203
Calculated density (g/cm3): 7.77

(6)
The following is a DFT calculation (PBE) of a relaxed structure of Ho3ScTe4.

a b c (Å): 5.921 11.847 6.381
angles (deg): 90.00 90.00 90.00
Space group Pmmn (No. 59, origin choice 2)
Unique sites:
Ho 0.250 0.000 0.186 (multiplicity 4)
Ho 0.250 0.250 0.810 (multiplicity 2)
Sc 0.250 0.750 0.827 (multiplicity 2)
Te 0.250 0.250 0.291 (multiplicity 2)
Te 0.250 0.506 0.707 (multiplicity 4)
Te 0.250 0.750 0.293 (multiplicity 2)

Computed properties:
Magnetic moment (μB per cell): 0.0
Energy above the lowest structure with this stoichiometry (eV/atom): 0.000
E_form (uncorrected) (meV per atom): -1225
Calculated density (g/cm3): 7.79

(7)
The following is a DFT calculation (PBE) of a relaxed structure of HoScTe3.

a b c (Å): 9.647 8.185 9.693
angles (deg): 90.00 118.17 90.00
Space group P2_1/c (No. 14)
Unique sites:
Ho 0.113 0.215 0.031 (multiplicity 4)
Sc 0.298 0.617 0.911 (multiplicity 4)
Te 0.022 0.019 0.700 (multiplicity 4)
Te 0.245 0.638 0.602 (multiplicity 4)
Te 0.375 0.221 0.433 (multiplicity 4)

Computed properties:
Magnetic moment (μB per cell): 0.0
Energy above the lowest structure with this stoichiometry (eV/atom): 0.114
E_form (uncorrected) (meV per atom): -1168
Calculated density (g/cm3): 5.83

(8)
The following is a DFT calculation (PBE) of a relaxed structure of Ho8ScTe2.

a b c (Å): 17.470 6.449 6.073
angles (deg): 90.00 108.74 90.00
Space group C2/m (No. 12)
Unique sites:
Ho 0.078 0.000 0.424 (multiplicity 4)
Ho 0.099 0.251 0.975 (multiplicity 8)
Ho 0.207 0.500 0.611 (multiplicity 4)
Sc 0.000 0.500 0.500 (multiplicity 2)
Te 0.236 0.000 0.828 (multiplicity 4)

Computed properties:
Magnetic moment (μB per cell): 0.0
E_form (uncorrected) (meV per atom): -383
Calculated density (g/cm3): 8.30

Q: What is the formula in the second record?
A: Ho6ScTe8

Q: Look up the E_form (uncorrected) of the fifth one.
A: -1203 meV per atom

Q: magnetic moment of number 5 (Ho3ScTe4)?
A: 0.0 μB per cell

Please write out number 1 again, unchanged.
The following is a DFT calculation (PBE) of a relaxed structure of Ho3ScTe3.

a b c (Å): 13.653 4.070 13.721
angles (deg): 90.00 90.00 90.00
Space group Pnma (No. 62)
Unique sites:
Ho 0.044 0.250 0.131 (multiplicity 4)
Ho 0.157 0.750 0.517 (multiplicity 4)
Ho 0.238 0.750 0.803 (multiplicity 4)
Sc 0.070 0.250 0.701 (multiplicity 4)
Te 0.055 0.250 0.377 (multiplicity 4)
Te 0.122 0.250 0.918 (multiplicity 4)
Te 0.219 0.750 0.141 (multiplicity 4)

Computed properties:
Magnetic moment (μB per cell): 0.0
E_form (uncorrected) (meV per atom): -1009
Calculated density (g/cm3): 8.04